The following is a DFT calculation (PBE+U) of a geometry-optimized Dy2MnBiO6 structure.

```
10
Lattice="-5.2680 1.4237 -0.2249 -1.2661 -4.2267 2.9009 0.5821 2.8502 4.4069" Properties=species:S:1:pos:R:3 pbc="T T T"
Bi -3.1717 0.0765 3.5331
Mn -3.2334 0.8738 -0.1381
O -1.1779 0.3183 -0.0503
O -3.7952 2.2073 3.8761
O -4.7526 -1.4585 3.0960
Dy -5.8157 -0.7127 1.2292
O -4.0968 0.7309 1.5933
Dy -4.8915 2.8257 1.9822
O -4.4511 0.0179 5.3788
O -0.9694 -0.5187 3.6271
```

volume	152	Å³ per cell
calculated density	7.5	Mg/m³
symmetry	P4mm (99)
final energy	-7.1974	eV per atom